Material: YTmGeSe
Method: DFT, PBE-GGA
State: optimized geometry

Geometry as POSCAR:
```
YTmGeSe
1.0
-3.7658 0.8610 1.3887
-3.0244 -2.7415 -0.4343
-0.6751 -3.3264 6.2989
Y Tm Ge Se
1 1 1 1
Cartesian
-5.3104 -4.3956 6.5267
-1.6218 -1.7173 2.7341
-6.5171 -2.3446 1.9828
-3.4735 -3.0439 4.6024
```

Values from the calculation:
Calculated volume: 24.63 Å³/atom
Energy relative to the elements, uncorrected: -1376 meV/atom